Entry 1:
# AcEuP, optimized geometry, DFT PBE
data_AcEuP
_chemical_formula_sum 'Ac4 Eu4 P4'
_space_group_name_H-M_alt 'F -4 3 m'
_space_group_IT_number 216
_space_group_name_Hall 'F -4 2 3'
_cell_length_a 7.2189
_cell_length_b 7.2189
_cell_length_c 7.2189
_cell_angle_alpha 90.00
_cell_angle_beta 90.00
_cell_angle_gamma 90.00
loop_
_atom_site_label
_atom_site_fract_x
_atom_site_fract_y
_atom_site_fract_z
Ac1 0.0000 0.0000 0.0000
Eu1 0.0000 0.0000 0.5000
P1 0.2500 0.2500 0.2500
# M_tot (μB per formula unit): 7.66
# Offset from the most stable computed form (eV/atom): 0.095
# Energy of formation from the pure elements (eV per atom): -0.7582


Entry 2:
# AcEuP4, optimized geometry, DFT PBE
data_AcEuP4
_chemical_formula_sum 'Ac4 Eu4 P16'
_space_group_name_H-M_alt 'F -4 3 m'
_space_group_IT_number 216
_space_group_name_Hall 'F -4 2 3'
_cell_length_a 7.8881
_cell_length_b 7.8881
_cell_length_c 7.8881
_cell_angle_alpha 90.00
_cell_angle_beta 90.00
_cell_angle_gamma 90.00
loop_
_atom_site_label
_atom_site_fract_x
_atom_site_fract_y
_atom_site_fract_z
Ac1 0.0000 0.0000 0.0000
Eu1 0.2500 0.2500 0.7500
P1 0.1213 0.1213 0.3787
# M_tot (μB per formula unit): 7.10
# Energy of formation from the pure elements (eV per atom): -0.4003


Entry 3:
# AcEuP, optimized geometry, DFT PBE
data_AcEuP
_chemical_formula_sum 'Ac1 Eu1 P1'
_space_group_name_H-M_alt 'P 3 m 1'
_space_group_IT_number 156
_cell_length_a 4.2457
_cell_length_b 4.2457
_cell_length_c 7.1635
_cell_angle_alpha 90.00
_cell_angle_beta 90.00
_cell_angle_gamma 120.00
loop_
_space_group_symop_operation_xyz
'x,y,z'
'-y,x-y,z'
'-x+y,-x,z'
'-y,-x,z'
'-x+y,y,z'
'x,x-y,z'
loop_
_atom_site_label
_atom_site_fract_x
_atom_site_fract_y
_atom_site_fract_z
Ac1 0.0000 0.0000 0.0000
Eu1 0.6667 0.3333 0.5270
P1 0.3333 0.6667 0.7571
# M_tot (μB per formula unit): 7.55
# Offset from the most stable computed form (eV/atom): 0.000
# Energy of formation from the pure elements (eV per atom): -0.8528


Entry 4:
# AcEu2P, optimized geometry, DFT PBE
data_AcEu2P
_chemical_formula_sum 'Ac1 Eu2 P1'
_space_group_name_H-M_alt 'P 4/m m m'
_space_group_IT_number 123
_space_group_name_Hall '-P 4 2'
_cell_length_a 3.7645
_cell_length_b 3.7645
_cell_length_c 9.3746
_cell_angle_alpha 90.00
_cell_angle_beta 90.00
_cell_angle_gamma 90.00
loop_
_atom_site_label
_atom_site_fract_x
_atom_site_fract_y
_atom_site_fract_z
Ac1 0.0000 0.0000 0.0000
Eu1 0.5000 0.5000 0.3354
P1 0.0000 0.0000 0.5000
# M_tot (μB per formula unit): 14.27
# Offset from the most stable computed form (eV/atom): 0.000
# Energy of formation from the pure elements (eV per atom): -0.5144


Entry 5:
# AcEuP, optimized geometry, DFT PBE
data_AcEuP
_chemical_formula_sum 'Ac2 Eu2 P2'
_space_group_name_H-M_alt 'I 4 m m'
_space_group_IT_number 107
_space_group_name_Hall 'I 4 -2'
_cell_length_a 3.8024
_cell_length_b 3.8024
_cell_length_c 13.7753
_cell_angle_alpha 90.00
_cell_angle_beta 90.00
_cell_angle_gamma 90.00
loop_
_atom_site_label
_atom_site_fract_x
_atom_site_fract_y
_atom_site_fract_z
Ac1 0.0000 0.0000 0.0000
Eu1 0.0000 0.0000 0.7607
P1 0.0000 0.0000 0.3858
# M_tot (μB per formula unit): 7.15
# Offset from the most stable computed form (eV/atom): 0.126
# Energy of formation from the pure elements (eV per atom): -0.7271


Entry 6:
# AcEu2P, optimized geometry, DFT PBE
data_AcEu2P
_chemical_formula_sum 'Ac3 Eu6 P3'
_space_group_name_H-M_alt 'R -3 m'
_space_group_IT_number 166
_space_group_name_Hall '-R 3 2"'
_cell_length_a 4.0428
_cell_length_b 4.0428
_cell_length_c 32.9608
_cell_angle_alpha 90.00
_cell_angle_beta 90.00
_cell_angle_gamma 120.00
loop_
_atom_site_label
_atom_site_fract_x
_atom_site_fract_y
_atom_site_fract_z
Ac1 0.0000 0.0000 0.0000
Eu1 0.0000 0.0000 0.1161
P1 0.0000 0.0000 0.5000
# M_tot (μB per formula unit): 14.23
# Offset from the most stable computed form (eV/atom): 0.028
# Energy of formation from the pure elements (eV per atom): -0.4861


Entry 7:
# AcEuP2, optimized geometry, DFT PBE
data_AcEuP2
_chemical_formula_sum 'Ac3 Eu3 P6'
_space_group_name_H-M_alt 'R -3 m'
_space_group_IT_number 166
_space_group_name_Hall '-R 3 2"'
_cell_length_a 4.3388
_cell_length_b 4.3388
_cell_length_c 21.0397
_cell_angle_alpha 90.00
_cell_angle_beta 90.00
_cell_angle_gamma 120.00
loop_
_atom_site_label
_atom_site_fract_x
_atom_site_fract_y
_atom_site_fract_z
Ac1 0.0000 0.0000 0.0000
Eu1 0.0000 0.0000 0.5000
P1 0.0000 0.0000 0.2459
# M_tot (μB per formula unit): 6.22
# Offset from the most stable computed form (eV/atom): 0.000
# Energy of formation from the pure elements (eV per atom): -1.2288


Entry 8:
# Ac3EuP, optimized geometry, DFT PBE
data_Ac3EuP
_chemical_formula_sum 'Ac3 Eu1 P1'
_space_group_name_H-M_alt 'P m -3 m'
_space_group_IT_number 221
_space_group_name_Hall '-P 4 2 3'
_cell_length_a 5.9985
_cell_length_b 5.9985
_cell_length_c 5.9985
_cell_angle_alpha 90.00
_cell_angle_beta 90.00
_cell_angle_gamma 90.00
loop_
_atom_site_label
_atom_site_fract_x
_atom_site_fract_y
_atom_site_fract_z
Ac1 0.0000 0.0000 0.5000
Eu1 0.5000 0.5000 0.5000
P1 0.0000 0.0000 0.0000
# M_tot (μB per formula unit): 8.00
# Energy of formation from the pure elements (eV per atom): -0.4243


Q: Among the records above, which one has the highest energy of formation from the pure elements?
A: AcEuP4